[1]
A plane-wave DFT calculation with PBE was carried out for crystalline SiBH at its relaxed geometry.

Unit cell a=3.4768 b=3.8880 c=7.8215 alpha=137.33 beta=90.00 gamma=90.00
Closest atoms and distances in Å follow each position.
Fractional positions:
H: 0.8613 0.2487 0.2421  2 B 1.33
H: 0.8613 0.7638 0.2524  2 B 1.33
B: 0.8613 0.7482 0.0771  2 H 1.33
B: 0.8613 0.2644 0.4174  2 H 1.33
Si: 0.3613 0.5626 0.6162  2 B 2.03
Si: 0.3613 0.4500 0.8783  2 B 2.03

Results
As for the crystal system: monoclinic. The value obtained for the energy above the most stable polymorph in this dataset is 23.3 meV per atom.

=====

[2]
A plane-wave DFT calculation with PBE was carried out for crystalline SiBH at its relaxed geometry.

Unit cell a=5.1433 b=3.8696 c=5.5358 alpha=90.00 beta=90.00 gamma=90.00
Closest atoms and distances in Å follow each position.
Fractional positions:
Si: 0.2503 0.2500 0.2498  2 H 1.66
Si: 0.7503 0.2500 0.2502  2 H 1.66
Si: 0.2497 0.7500 0.7498  2 H 1.66
Si: 0.7497 0.7500 0.7502  2 H 1.66
B: 0.0000 0.5000 0.0000  2 B 1.93, 4 Si 2.12
B: 0.5000 0.0000 0.5000  2 B 1.93, 4 Si 2.12
B: 0.0000 0.0000 0.0000  2 B 1.93, 4 Si 2.12
B: 0.5000 0.5000 0.5000  2 B 1.93, 4 Si 2.12
H: 0.5002 0.2500 0.0593  2 Si 1.66
H: 0.9998 0.7500 0.5593  2 Si 1.66
H: 0.4998 0.7500 0.9407  2 Si 1.66
H: 0.0002 0.2500 0.4407  2 Si 1.66

Results
As for the crystal system: orthorhombic. The value obtained for the energy above the most stable polymorph in this dataset is 485.1 meV per atom.

=====

[3]
A plane-wave DFT calculation with PBE was carried out for crystalline Si3BH at its relaxed geometry.

Unit cell a=3.7911 b=3.7911 c=3.7911 alpha=90.00 beta=90.00 gamma=90.00
Closest atoms and distances in Å follow each position.
Fractional positions:
H: 0.0000 0.0000 0.0000  6 Si 1.90
Si: 0.0000 0.5000 0.0000  2 H 1.90
Si: 0.5000 0.0000 0.0000  2 H 1.90
Si: 0.0000 0.0000 0.5000  2 H 1.90
B: 0.5000 0.5000 0.5000  12 Si 2.68

Results
As for the crystal system: cubic. The value obtained for the energy above the most stable polymorph in this dataset is 0.0 meV per atom.

=====

[4]
A plane-wave DFT calculation with PBE was carried out for crystalline SiBH at its relaxed geometry.

Unit cell a=5.7777 b=3.1734 c=5.5734 alpha=90.00 beta=90.00 gamma=90.00
Closest atoms and distances in Å follow each position.
Fractional positions:
B: 0.5798 0.7500 0.9535  2 B 1.91, 2 Si 2.06-2.09
B: 0.4202 0.2500 0.0465  2 B 1.91, 2 Si 2.06-2.09
B: 0.9202 0.2500 0.4535  2 B 1.91, 2 Si 2.06-2.09
B: 0.0798 0.7500 0.5465  2 B 1.91, 2 Si 2.06-2.09
H: 0.4362 0.2500 0.5993  1 Si 1.51
H: 0.9362 0.2500 0.9007  1 Si 1.51
H: 0.5638 0.7500 0.4007  1 Si 1.51
H: 0.0638 0.7500 0.0993  1 Si 1.51
Si: 0.2232 0.7500 0.8856  1 H 1.51
Si: 0.7768 0.2500 0.1144  1 H 1.51
Si: 0.2768 0.2500 0.3856  1 H 1.51
Si: 0.7232 0.7500 0.6144  1 H 1.51

Results
As for the crystal system: orthorhombic. The value obtained for the energy above the most stable polymorph in this dataset is 172.2 meV per atom.

=====

[5]
A plane-wave DFT calculation with PBE was carried out for crystalline Si2BH at its relaxed geometry.

Unit cell a=3.7410 b=3.7410 c=3.7410 alpha=60.00 beta=60.00 gamma=60.00
Closest atoms and distances in Å follow each position.
Fractional positions:
Si: 0.2500 0.2500 0.2500  4 B 2.29, 4 H 2.29
Si: 0.7500 0.7500 0.7500  4 H 2.29, 4 B 2.29
H: 0.0000 0.0000 0.0000  8 Si 2.29
B: 0.5000 0.5000 0.5000  8 Si 2.29

Results
As for the crystal system: cubic. The value obtained for the energy above the most stable polymorph in this dataset is 161.3 meV per atom.

=====

[6]
A plane-wave DFT calculation with PBE was carried out for crystalline SiBH at its relaxed geometry.

Unit cell a=2.3081 b=3.4895 c=5.4514 alpha=87.62 beta=78.11 gamma=70.70
Closest atoms and distances in Å follow each position.
Fractional positions:
Si: 0.7347 0.0244 0.5683  3 B 2.04-2.15
H: 0.2161 0.4637 0.1554  1 B 1.20
B: 0.1009 0.4749 0.3807  1 H 1.20

Results
As for the crystal system: triclinic. The value obtained for the energy above the most stable polymorph in this dataset is 312.8 meV per atom.

=====

[7]
A plane-wave DFT calculation with PBE was carried out for crystalline SiBH at its relaxed geometry.

Unit cell a=2.4466 b=3.2458 c=4.3569 alpha=111.68 beta=105.31 gamma=92.73
Closest atoms and distances in Å follow each position.
Fractional positions:
H: 0.5870 0.6499 0.5944  1 B 1.33
Si: 0.8321 0.8910 0.0838  1 H 1.89, 2 B 2.09
B: 0.4140 0.4772 0.2497  1 H 1.33

Results
As for the crystal system: triclinic. The value obtained for the energy above the most stable polymorph in this dataset is 439.0 meV per atom.

=====

[8]
A plane-wave DFT calculation with PBE was carried out for crystalline Si2BH8 at its relaxed geometry.

Unit cell a=5.1840 b=5.2877 c=5.2877 alpha=58.80 beta=66.15 gamma=66.15
Closest atoms and distances in Å follow each position.
Fractional positions:
H: 0.6486 0.7590 0.7590  1 Si 1.50
H: 0.7000 0.3621 0.3621  1 Si 1.48
H: 0.0105 0.7092 0.0797  1 B 1.35
H: 0.0105 0.0797 0.7092  1 B 1.35
H: 0.3514 0.2410 0.2410  1 Si 1.50
H: 0.3000 0.6379 0.6379  1 Si 1.48
H: 0.9895 0.9203 0.2908  1 B 1.35
H: 0.9895 0.2908 0.9203  1 B 1.35
B: 0.0000 0.0000 0.0000  4 H 1.35
Si: 0.3397 0.7867 0.7867  2 H 1.48-1.50
Si: 0.6603 0.2133 0.2133  2 H 1.48-1.50

Results
As for the crystal system: monoclinic.

=====

[9]
A plane-wave DFT calculation with PBE was carried out for crystalline SiBH at its relaxed geometry.

Unit cell a=3.5296 b=5.7710 c=5.6913 alpha=90.00 beta=90.00 gamma=90.00
Closest atoms and distances in Å follow each position.
Fractional positions:
H: 0.7500 0.7770 0.3930  1 B 1.21
H: 0.2500 0.7230 0.6070  1 B 1.21
H: 0.2500 0.2770 0.1070  1 B 1.21
H: 0.7500 0.2230 0.8930  1 B 1.21
B: 0.7500 0.3618 0.7325  1 H 1.21
B: 0.2500 0.8618 0.7675  1 H 1.21
B: 0.2500 0.1382 0.2675  1 H 1.21
B: 0.7500 0.6382 0.2325  1 H 1.21
Si: 0.2500 0.8099 0.1499  4 B 2.01-2.20, 1 H 2.25
Si: 0.7500 0.6901 0.8501  4 B 2.01-2.20, 1 H 2.25
Si: 0.7500 0.3099 0.3501  4 B 2.01-2.20, 1 H 2.25
Si: 0.2500 0.1901 0.6499  4 B 2.01-2.20, 1 H 2.25

Results
As for the crystal system: orthorhombic. The value obtained for the energy above the most stable polymorph in this dataset is 0.0 meV per atom.

=====

[10]
A plane-wave DFT calculation with PBE was carried out for crystalline SiBH at its relaxed geometry.

Unit cell a=2.3122 b=3.3386 c=4.8547 alpha=90.00 beta=90.00 gamma=90.00
Closest atoms and distances in Å follow each position.
Fractional positions:
Si: 0.5000 0.5000 0.7480  2 B 2.04
B: 0.5000 0.0000 0.9892  2 H 1.42
H: 0.0000 0.0000 0.1585  2 B 1.42

Results
As for the crystal system: orthorhombic. The value obtained for the energy above the most stable polymorph in this dataset is 479.9 meV per atom.

=====

[11]
A plane-wave DFT calculation with PBE was carried out for crystalline SiB3H at its relaxed geometry.

Unit cell a=3.9885 b=3.9885 c=3.9885 alpha=90.00 beta=90.00 gamma=90.00
Closest atoms and distances in Å follow each position.
Fractional positions:
Si: 0.0000 0.0000 0.0000  6 B 1.99
H: 0.5000 0.5000 0.5000  12 B 2.82
B: 0.0000 0.5000 0.0000  2 Si 1.99
B: 0.0000 0.0000 0.5000  2 Si 1.99
B: 0.5000 0.0000 0.0000  2 Si 1.99

Results
As for the crystal system: cubic. The value obtained for the energy above the most stable polymorph in this dataset is 505.3 meV per atom.

=====

[12]
A plane-wave DFT calculation with PBE was carried out for crystalline Si2BH at its relaxed geometry.

Unit cell a=4.7842 b=4.7842 c=5.3703 alpha=63.55 beta=63.55 gamma=90.00
Closest atoms and distances in Å follow each position.
Fractional positions:
H: 0.2500 0.7500 0.5000  4 Si 1.99
H: 0.5000 0.5000 0.0000  4 Si 1.99
B: 0.7500 0.2500 0.5000  4 Si 1.99
B: 0.0000 0.0000 0.0000  4 Si 1.99
Si: 0.8750 0.8756 0.7500  2 B 1.99, 2 H 1.99
Si: 0.3750 0.3744 0.7500  2 B 1.99, 2 H 1.99
Si: 0.6256 0.1250 0.2500  2 B 1.99, 2 H 1.99
Si: 0.1244 0.6250 0.2500  2 B 1.99, 2 H 1.99

Results
As for the crystal system: tetragonal. The value obtained for the energy above the most stable polymorph in this dataset is 0.0 meV per atom.

=====

Number 1: calculated density 1.8 g cm⁻³, magnetic moment 0.000 μB/cell, uncorrected energy -29.91 eV/cell. Number 2: calculated density 2.4 g cm⁻³, magnetic moment 0.000 μB/cell, uncorrected energy -54.29 eV/cell. Number 3: calculated density 2.9 g cm⁻³, magnetic moment 0.000 μB/cell, uncorrected energy -20.83 eV/cell. Number 4: calculated density 2.6 g cm⁻³, magnetic moment 0.000 μB/cell, uncorrected energy -58.04 eV/cell. Number 5: calculated density 3.0 g cm⁻³, magnetic moment 0.000 μB/cell, uncorrected energy -17.78 eV/cell. Number 6: calculated density 1.6 g cm⁻³, magnetic moment 0.000 μB/cell, uncorrected energy -14.09 eV/cell. Number 7: calculated density 2.2 g cm⁻³, magnetic moment 0.000 μB/cell, uncorrected energy -13.71 eV/cell. Number 8: calculated density 1.1 g cm⁻³, magnetic moment 0.000 μB/cell, uncorrected energy -39.60 eV/cell. Number 9: calculated density 2.3 g cm⁻³, magnetic moment 0.000 μB/cell, uncorrected energy -60.11 eV/cell. Number 10: calculated density 1.8 g cm⁻³, magnetic moment 0.000 μB/cell, uncorrected energy -13.59 eV/cell. Number 11: calculated density 1.6 g cm⁻³, magnetic moment 0.000 μB/cell, uncorrected energy -18.72 eV/cell. Number 12: calculated density 2.4 g cm⁻³, magnetic moment 0.000 μB/cell, uncorrected energy -36.85 eV/cell.